Entry from Alexandria: RbAc2Lu after structural relaxation (GGA-PBE).

a b c (Å): 3.8990 3.8990 42.0614
angles (deg): 90.00 90.00 120.00
With the nearest neighbours (Å) after each atom.
Space group R-3m (No. 166, hexagonal axes)
Inequivalent atoms, fractional coordinates:
Rb: 0.0000 0.0000 0.0000 x3  6 Rb 3.90, 2 Ac 4.13
Ac: 0.0000 0.0000 0.0982 x6  3 Lu 3.66, 6 Ac 3.90
Lu: 0.0000 0.0000 0.5000 x3  6 Ac 3.66, 6 Lu 3.90

Formation enthalpy at 0 K in eV per atom: 0.2251


Entry from Alexandria: AcLu2Re after structural relaxation (GGA-PBE).

a b c (Å): 3.3395 3.3395 34.2843
angles (deg): 90.00 90.00 120.00
With the nearest neighbours (Å) after each atom.
Space group R-3m (No. 166, hexagonal axes)
Inequivalent atoms, fractional coordinates:
Ac: 0.0000 0.0000 0.0000 x3  6 Ac 3.34, 6 Lu 3.66
Lu: 0.0000 0.0000 0.4239 x6  1 Re 2.61
Re: 0.0000 0.0000 0.5000 x3  2 Lu 2.61

Formation enthalpy at 0 K in eV per atom: 0.9374


Entry from Alexandria: AcLuRh2 after structural relaxation (GGA-PBE).

a b c (Å): 4.4567 4.4567 16.5629
angles (deg): 90.00 90.00 120.00
With the nearest neighbours (Å) after each atom.
Space group R-3m (No. 166, hexagonal axes)
Inequivalent atoms, fractional coordinates:
Ac: 0.0000 0.0000 0.0000 x3  6 Rh 3.18
Lu: 0.0000 0.0000 0.5000 x3  6 Rh 2.73
Rh: 0.0000 0.0000 0.2209 x6  3 Lu 2.73

Formation enthalpy at 0 K in eV per atom: -0.6956
Excess energy over the best structure of this formula in the dataset in meV per atom: 6